An optimized crystal structure of LaB2Sb, computed with PBE.

Computed properties:
ΔE_f (raw) = 0.527 eV/atom
V = 19.38 Å³/atom

a = 6.8193 Å, b = 6.8193 Å, c = 5.8622 Å
α = 54.43°, β = 54.43°, γ = 90.00°
Sites, in units of the cell vectors:
Sb: 0.5000 0.5000 0.0000
Sb: 0.2500 0.7500 0.5000
B: 0.5735 0.1250 0.2500
B: 0.1765 0.6250 0.2500
B: 0.3750 0.4265 0.7500
B: 0.8750 0.8235 0.7500
La: 0.0000 0.0000 0.0000
La: 0.7500 0.2500 0.5000